Density functional theory data (GGA+U) for a geometry-optimized CrGeI2O structure.

a b c (Å): 5.801 5.801 3.713
angles (deg): 90.00 90.00 90.00
Element x y z (fractional)
Cr  0.000  0.000  0.000
Ge  0.500  0.500  0.500
I  0.000  0.500  0.000
I  0.500  0.000  0.000
O  0.000  0.000  0.500

**Density**: 5243 kg/m³
**Space group**: P4/mmm, No. 123
**Total magnetic moment**: 3.5 μB/cell
**E_tot**: -4.325 eV per atom
**ΔE to the lowest computed polymorph**: 0 meV/atom
**Crystal system**: tetragonal